1.
Nd2Y2CICl4, optimized geometry, DFT PBE-GGA; symmetry = C2/m; offset from the most stable computed form = 0.0 kJ/mol of formula units; magnetic moment = 0.01 μB/cell
1.0
-3.1999 0.7639 -8.2180
-5.9657 -1.2921 -6.4109
-2.8789 7.3828 3.9934
I Cl Nd Y C
1 4 2 2 1
Direct
0.5000 0.5000 0.5000
0.1689 0.1689 0.2930
0.8311 0.8311 0.7070
0.1749 0.1749 0.8707
0.8251 0.8251 0.1293
0.0015 0.0015 0.8051
0.9985 0.9985 0.1949
0.6429 0.6429 0.0719
0.3571 0.3571 0.9281
0.5000 0.5000 0.0000

---

2.
HoO, optimized geometry, DFT PBE-GGA; symmetry = F-43m; magnetic moment = 0.91 μB/cell
1.0
-1.9418 -0.5621 3.0987
-3.6783 0.3977 -0.0241
-2.1840 -2.9712 0.3012
O Ho
1 1
Direct
0.2500 0.2500 0.2500
0.0000 0.0000 0.0000

---

3.
RbBaDyTe3, optimized geometry, DFT PBE-GGA; symmetry = Cmcm; offset from the most stable computed form = 114.3 kJ/mol of formula units; magnetic moment = 0.03 μB/cell
1.0
2.3261 -10.9557 0.0000
2.3261 10.9557 0.0000
0.0000 0.0000 13.2817
Dy Te Rb Ba
2 6 2 2
Direct
0.0000 0.0000 0.5000
0.0000 0.0000 0.0000
0.4040 0.5960 0.0019
0.5960 0.4040 0.5019
0.4040 0.5960 0.4981
0.5960 0.4040 0.9981
0.9910 0.0090 0.7500
0.0090 0.9910 0.2500
0.6338 0.3662 0.2500
0.3662 0.6338 0.7500
0.4026 0.5974 0.2500
0.5974 0.4026 0.7500

---

4.
TmHfTl, optimized geometry, DFT PBE-GGA; symmetry = F-43m; offset from the most stable computed form = 0.0 kJ/mol of formula units; magnetic moment = 0.86 μB/cell
1.0
-3.8912 -2.3403 1.8906
-0.5809 -0.2629 4.8771
-3.5832 2.5594 2.1914
Hf Tm Tl
1 1 1
Direct
0.2500 0.2500 0.2500
0.7500 0.7500 0.7500
0.0000 0.0000 0.0000

---

5.
NdH7C8SO9, optimized geometry, DFT PBE-GGA; symmetry = P-1; magnetic moment = 0.00 μB/cell
1.0
6.2887 0.0000 0.0000
-2.6693 8.2738 0.0000
-1.7747 -0.8666 10.4411
C H O S Nd
16 14 18 2 2
Direct
0.7527 0.3185 0.9965
0.9529 0.7988 0.9254
0.9742 0.2315 0.8447
0.1621 0.6524 0.6415
0.0471 0.2012 0.0746
0.2473 0.6815 0.0035
0.0258 0.7685 0.1553
0.8379 0.3476 0.3585
0.8627 0.3038 0.2254
0.2686 0.6509 0.8779
0.0843 0.7522 0.0271
0.0178 0.2256 0.1992
0.1373 0.6962 0.7746
0.7314 0.3491 0.1221
0.9157 0.2478 0.9729
0.9822 0.7744 0.8008
0.8225 0.8493 0.9446
0.4517 0.9070 0.3176
0.4097 0.4983 0.3429
0.5903 0.5017 0.6571
0.3885 0.5900 0.8577
0.6743 0.0491 0.3859
0.3257 0.9509 0.6141
0.5483 0.0930 0.6824
0.3389 0.6469 0.2831
0.1775 0.1507 0.0554
0.6611 0.3531 0.7169
0.6115 0.4100 0.1423
0.6477 0.3544 0.9178
0.3523 0.6456 0.0822
0.5370 0.4035 0.7034
0.1540 0.7500 0.2582
0.1588 0.2027 0.8387
0.6279 0.8689 0.7477
0.8344 0.2450 0.4425
0.1785 0.5140 0.6203
0.4630 0.5965 0.2966
0.6830 0.6772 0.5892
0.3170 0.3228 0.4108
0.1656 0.7550 0.5575
0.8412 0.7973 0.1613
0.9064 0.9544 0.6068
0.3721 0.1311 0.2523
0.0936 0.0456 0.3932
0.3920 0.0698 0.6362
0.8215 0.4860 0.3797
0.6080 0.9302 0.3638
0.8460 0.2500 0.7418
0.7849 0.8240 0.6814
0.2151 0.1760 0.3186
0.1486 0.2377 0.6104
0.8514 0.7623 0.3896

---

6.
CdCuAsW, optimized geometry, DFT PBE-GGA; symmetry = F-43m; offset from the most stable computed form = 0.0 kJ/mol of formula units; magnetic moment = 0.01 μB/cell
1.0
-2.9899 -3.2268 1.0058
-3.8290 -0.3441 -2.3630
-0.6076 -3.4710 -2.8188
Cd As W Cu
1 1 1 1
Direct
0.5000 0.5000 0.5000
0.0000 0.0000 0.0000
0.2500 0.2500 0.2500
0.7500 0.7500 0.7500

---

no.,uncorrected energy (eV/atom)
1,-5.65
2,-7.49
3,-4.06
4,-5.24
5,-6.76
6,-4.86